Entry from the Alexandria database: a relaxed PaMnV2O8 crystal (GGA+U).

The value obtained for the total energy is -95.2 eV/cell. The value obtained for the density of states at the Fermi level is 0.535 states/eV/atom. The calculation puts the total magnetization at 0.01 Bohr magnetons per cell. For the density, the calculation gives 5112 kg/m³.

The structure belongs to space group P-3m1 (No. 164); the cell edges are 5.8836, 5.8836 and 5.5899 Å and the angles 90.00°, 90.00° and 120.00°. The asymmetric unit holds Pa at (0.0000, 0.0000, 0.0000), Mn at (0.0000, 0.0000, 0.5000), V at (0.3333, 0.6667, 0.6225), O at (0.1545, 0.3090, 0.7226) and O at (0.3333, 0.6667, 0.3294).